*w*
5
Lattice="-1.232 -0.535 3.559 -2.650 -2.410 -1.279 2.709 -3.219 0.453" Properties=species:S:1:pos:R:3 comment="GGA-PBE Mn2NbTcN, relaxed" dos_ef_per_ev_cell=6.656 volume_a3_per_cell=61 pbc="T T T"
Tc -0.587 -3.082 1.367
Mn -0.616 -0.267 1.780
Mn -1.325 -1.205 -0.640
N 0.000 0.000 0.000
Nb 1.354 -1.610 0.227

***

*x*
5
Lattice="3.850 0.000 0.000 0.000 3.850 0.000 0.000 0.000 4.050" Properties=species:S:1:pos:R:3 comment="GGA-PBE Mn2NbTcN, relaxed" dos_ef_per_ev_cell=4.311 volume_a3_per_cell=60 pbc="T T T"
Mn 0.000 1.925 0.000
Mn 1.925 0.000 0.000
N 0.000 0.000 0.000
Tc 0.000 0.000 2.025
Nb 1.925 1.925 2.025

***

The structure with the greatest stability is *x*.

***

*w*
5
Lattice="3.837 0.000 0.000 0.000 3.837 0.000 0.000 0.000 5.246" Properties=species:S:1:pos:R:3 comment="GGA-PBE MnNbTeN2, relaxed" dos_ef_per_ev_cell=3.426 volume_a3_per_cell=77 pbc="T T T"
N 0.000 1.918 0.000
N 1.918 0.000 0.000
Nb 1.918 1.918 2.623
Mn 0.000 0.000 0.000
Te 0.000 0.000 2.623

***

*x*
5
Lattice="4.034 0.000 0.000 0.000 4.034 0.000 0.000 0.000 5.881" Properties=species:S:1:pos:R:3 comment="GGA-PBE MnNbTeN2, relaxed" dos_ef_per_ev_cell=3.570 volume_a3_per_cell=96 pbc="T T T"
Nb 0.000 0.000 0.000
Te 0.000 0.000 2.941
N 0.000 2.017 0.000
N 2.017 0.000 0.000
Mn 2.017 2.017 2.941

***

The structure with the greatest stability is *x*.

***

*w*
6
Lattice="2.869 0.000 0.000 0.000 3.950 0.000 0.000 0.000 5.390" Properties=species:S:1:pos:R:3 comment="GGA-PBE MnNiN, relaxed" dos_ef_per_ev_cell=2.656 volume_a3_per_cell=61 pbc="T T T"
Mn 1.435 0.000 3.414
Mn 0.000 1.975 1.977
Ni 1.435 1.975 5.171
Ni 0.000 0.000 0.220
N 1.435 1.975 3.294
N 0.000 0.000 2.096

***

*x*
3
Lattice="-0.840 -1.912 -2.549 -2.352 -1.407 1.830 -0.373 3.753 -0.561" Properties=species:S:1:pos:R:3 comment="GGA-PBE MnNiN, relaxed" dos_ef_per_ev_cell=2.212 volume_a3_per_cell=33 pbc="T T T"
Mn -3.247 0.097 -1.132
Ni -1.238 1.316 -0.579
N -2.053 -1.173 -0.574

***

The structure with the greatest stability is *w*.

***

*w*
5
Lattice="4.288 0.000 0.530 0.000 3.277 0.000 -0.447 0.000 5.825" Properties=species:S:1:pos:R:3 comment="GGA-PBE MnNiPSeN, relaxed" dos_ef_per_ev_cell=2.477 volume_a3_per_cell=83 pbc="T T T"
Se 3.845 1.638 4.472
Mn 0.216 1.638 1.646
P 3.014 0.000 1.594
Ni -0.019 0.000 5.474
N 1.406 0.000 1.371

***

*x*
10
Lattice="-3.877 0.229 -1.617 -0.840 -2.277 1.690 -0.518 7.249 9.507" Properties=species:S:1:pos:R:3 comment="GGA-PBE MnNiPSeN, relaxed" dos_ef_per_ev_cell=4.620 volume_a3_per_cell=145 pbc="T T T"
N -2.084 3.477 6.235
N -1.405 0.991 0.636
Se -0.629 2.498 3.052
Se -1.308 4.984 8.651
P -2.605 0.662 -0.403
P -3.284 3.148 5.196
Mn -0.760 4.890 6.209
Mn -0.921 0.127 2.301
Ni -2.879 3.351 3.084
Ni -3.558 5.837 8.683

***

*y*
10
Lattice="-5.700 -0.770 -3.836 -1.113 -2.426 2.141 -2.756 4.121 3.236" Properties=species:S:1:pos:R:3 comment="GGA-PBE MnNiPSeN, relaxed" dos_ef_per_ev_cell=4.750 volume_a3_per_cell=140 pbc="T T T"
Mn -3.553 1.150 -0.545
Mn -5.488 1.997 2.144
P -1.602 -0.472 1.367
P -2.423 2.801 1.914
N -2.955 -0.657 0.454
N -3.776 2.616 1.001
Ni -6.327 0.778 -2.408
Ni -8.261 1.626 0.281
Se -4.085 -0.418 -2.598
Se -6.019 0.429 0.091

***

*z*
5
Lattice="4.316 0.000 0.012 0.000 2.804 0.000 -1.568 0.000 5.856" Properties=species:S:1:pos:R:3 comment="GGA-PBE MnNiPSeN, relaxed" dos_ef_per_ev_cell=3.103 volume_a3_per_cell=71 pbc="T T T"
N -0.425 1.402 2.722
Ni 1.920 0.000 4.909
P 2.347 1.402 3.291
Se 1.307 0.000 0.145
Mn 0.760 0.000 2.407

***

The structure with the greatest stability is *y*.

***

*w*
5
Lattice="-3.450 -0.874 -1.347 0.329 -3.510 1.434 -1.628 1.226 3.375" Properties=species:S:1:pos:R:3 comment="GGA-PBE MnNi2PdN, relaxed" dos_ef_per_ev_cell=5.392 volume_a3_per_cell=57 pbc="T T T"
Ni -1.725 -0.437 -0.674
Ni 0.165 -1.755 0.717
Mn -0.814 0.613 1.687
N 0.000 0.000 0.000
Pd -2.375 -1.579 1.731

***

*x*
5
Lattice="-1.084 -1.122 -3.972 -4.310 -0.975 1.451 -1.183 4.019 -0.812" Properties=species:S:1:pos:R:3 comment="GGA-PBE MnNi2PdN, relaxed" dos_ef_per_ev_cell=8.155 volume_a3_per_cell=85 pbc="T T T"
Ni -0.591 2.009 -0.406
Ni -0.542 -0.561 -1.986
Pd -2.155 -0.488 0.726
N -3.288 0.961 -1.667
Mn 0.000 0.000 0.000

***

The structure with the greatest stability is *w*.

***

*w*
5
Lattice="3.874 0.000 0.000 0.000 3.874 0.000 0.000 0.000 3.930" Properties=species:S:1:pos:R:3 comment="GGA-PBE Mn2NiRuN, relaxed" dos_ef_per_ev_cell=6.252 volume_a3_per_cell=59 pbc="T T T"
N 0.000 0.000 0.000
Ni 1.937 1.937 1.965
Ru 0.000 0.000 1.965
Mn 1.937 0.000 0.000
Mn 0.000 1.937 0.000

***

*x*
5
Lattice="-1.336 1.873 3.044 -3.422 0.269 -1.667 -1.028 -3.298 1.578" Properties=species:S:1:pos:R:3 comment="GGA-PBE Mn2NiRuN, relaxed" dos_ef_per_ev_cell=6.517 volume_a3_per_cell=55 pbc="T T T"
Mn -0.668 0.937 1.522
Mn -1.711 0.134 -0.834
Ni -0.514 -1.649 0.789
N 0.000 0.000 0.000
Ru -2.893 -0.578 1.478

***

The structure with the greatest stability is *w*.